# 1
SbTeBr2: relaxed, PBE.

Unit cell a=4.212 b=9.618 c=16.111 alpha=100.31 beta=90.00 gamma=90.00
Atoms (fractional coordinates):
Sb: 0.247 0.263 0.640
Sb: 0.753 0.737 0.360
Sb: 0.747 0.237 0.860
Sb: 0.253 0.763 0.140
Te: 0.753 0.562 0.182
Te: 0.247 0.438 0.818
Te: 0.253 0.938 0.318
Te: 0.747 0.062 0.682
Br: 0.247 0.041 0.888
Br: 0.753 0.959 0.112
Br: 0.747 0.459 0.612
Br: 0.253 0.541 0.388
Br: 0.749 0.349 0.025
Br: 0.251 0.651 0.975
Br: 0.249 0.151 0.475
Br: 0.751 0.849 0.525

Computed properties:
Space-group type   P2_1/c (14)
Uncorrected formation energy   -0.2941 eV/atom
Excess energy over the best structure of this formula in the dataset   0.000 eV/atom



# 2
Th2AgHg5: relaxed, PBE.

Unit cell a=6.572 b=6.572 c=6.707 alpha=120.78 beta=120.78 gamma=87.44
Atoms (fractional coordinates):
Th: 0.254 0.684 0.444
Th: 0.683 0.254 0.444
Ag: 0.195 0.196 0.441
Hg: 0.724 0.222 0.945
Hg: 0.205 0.204 0.894
Hg: 0.751 0.751 0.995
Hg: 0.222 0.724 0.945
Hg: 0.743 0.742 0.447

Computed properties:
Calculated formation energy   -123 meV per atom
Space-group type   P1 (1)



# 3
Cs2LiTeCl: relaxed, PBE.

Unit cell a=4.944 b=8.296 c=10.675 alpha=107.94 beta=90.00 gamma=90.00
Atoms (fractional coordinates):
Cs: 0.750 0.823 0.598
Cs: 0.750 0.753 0.042
Cs: 0.250 0.177 0.402
Cs: 0.250 0.247 0.958
Li: 0.250 0.518 0.731
Li: 0.750 0.482 0.269
Te: 0.250 0.642 0.298
Te: 0.750 0.358 0.702
Cl: 0.250 0.813 0.827
Cl: 0.750 0.187 0.173

Computed properties:
Space-group type   P2_1/m (11)
Uncorrected formation energy   -1.3872 eV/atom



Short version: electronic total energy = -2.95 -2.52 -3.11 eV/atom, in the order given.